Run 1
# LiScZnSb

A geometry-optimized LiScZnSb structure (PBE, the Open Quantum Materials Database).

Cell lengths 6.7713, 6.7713, 6.7713 Å; angles 90.00, 90.00, 90.00 degrees
With the nearest neighbours (Å) after each atom.
Space group F-43m (No. 216)
Inequivalent atoms, fractional coordinates:
Li 0.0000 0.0000 0.0000 [4 per cell]  4 Sb 2.93, 4 Sc 2.93
Sc 0.2500 0.2500 0.7500 [4 per cell]  4 Li 2.93, 4 Zn 2.93
Zn 0.0000 0.0000 0.5000 [4 per cell]  4 Sb 2.93, 4 Sc 2.93
Sb 0.2500 0.2500 0.2500 [4 per cell]  4 Li 2.93, 4 Zn 2.93

Values from the calculation:
Crystal system: cubic

=====

Run 2
# LiScZnSb

A geometry-optimized LiScZnSb structure (PBE, the Open Quantum Materials Database).

Cell lengths 6.7851, 6.7851, 6.7851 Å; angles 90.00, 90.00, 90.00 degrees
With the nearest neighbours (Å) after each atom.
Space group F-43m (No. 216)
Inequivalent atoms, fractional coordinates:
Li 0.0000 0.0000 0.0000 [4 per cell]  4 Zn 2.94, 4 Sb 2.94
Sc 0.0000 0.0000 0.5000 [4 per cell]  4 Sb 2.94, 4 Zn 2.94
Zn 0.2500 0.2500 0.2500 [4 per cell]  4 Li 2.94, 4 Sc 2.94
Sb 0.2500 0.2500 0.7500 [4 per cell]  4 Li 2.94, 4 Sc 2.94

Values from the calculation:
Crystal system: cubic

=====

Energy above the most stable structure, in meV/atom: run 1 229; run 2 0

=====

Run 1
# LiSmZnSe3

A geometry-optimized LiSmZnSe3 structure (PBE, the Open Quantum Materials Database).

Cell lengths 11.9967, 4.0888, 11.7231 Å; angles 90.00, 90.00, 90.00 degrees
With the nearest neighbours (Å) after each atom.
Space group Pnma (No. 62)
Inequivalent atoms, fractional coordinates:
Li 0.1203 0.2500 0.0114 [4 per cell]  5 Se 2.68-2.97
Sm 0.0363 0.2500 0.6800 [4 per cell]  6 Se 2.88-3.01
Zn 0.2406 0.2500 0.2895 [4 per cell]  4 Se 2.41-2.52
Se 0.0665 0.7500 0.8636 [4 per cell]  1 Zn 2.47, 3 Li 2.68-2.76
Se 0.0946 0.2500 0.4303 [4 per cell]  1 Zn 2.41
Se 0.2144 0.7500 0.1674 [4 per cell]  2 Zn 2.52

Values from the calculation:
Crystal system: orthorhombic

=====

Run 2
# LiSmZnSe3

A geometry-optimized LiSmZnSe3 structure (PBE, the Open Quantum Materials Database).

Cell lengths 4.0235, 13.0464, 11.0971 Å; angles 90.00, 90.00, 90.00 degrees
With the nearest neighbours (Å) after each atom.
Space group Cmcm (No. 63)
Inequivalent atoms, fractional coordinates:
Li 0.0000 0.2249 0.2500 [4 per cell]  6 Se 2.94-3.13, 2 Zn 3.29
Sm 0.0000 0.0000 0.0000 [4 per cell]  6 Se 2.90-3.02
Zn 0.0000 0.4750 0.7500 [4 per cell]  4 Se 2.45-2.52
Se 0.0000 0.0918 0.7500 [4 per cell]  2 Zn 2.52
Se 0.0000 0.3549 0.5804 [8 per cell]  1 Zn 2.45

Values from the calculation:
Crystal system: orthorhombic

=====

Energy above the most stable structure, in meV/atom: run 1 0; run 2 14

=====

Run 1
# SrLiTbSe3

A geometry-optimized SrLiTbSe3 structure (PBE, the Open Quantum Materials Database).

Cell lengths 13.8536, 4.1631, 10.8900 Å; angles 90.00, 90.00, 90.00 degrees
With the nearest neighbours (Å) after each atom.
Space group Pnma (No. 62)
Inequivalent atoms, fractional coordinates:
Sr 0.2259 0.2500 0.0341 [4 per cell]  6 Se 3.12-3.32, 1 Li 3.48
Li 0.0056 0.7500 0.0893 [4 per cell]  4 Se 2.54
Tb 0.0160 0.2500 0.3323 [4 per cell]  6 Se 2.87-2.91
Se 0.0985 0.7500 0.8879 [4 per cell]  3 Li 2.54
Se 0.1083 0.2500 0.5688 [4 per cell]  3 Tb 2.88-2.91, 2 Sr 3.12
Se 0.1414 0.7500 0.2462 [4 per cell]  1 Li 2.54

Values from the calculation:
Crystal system: orthorhombic

=====

Run 2
# SrLiTbSe3

A geometry-optimized SrLiTbSe3 structure (PBE, the Open Quantum Materials Database).

Cell lengths 4.1729, 13.6112, 10.7560 Å; angles 90.00, 90.00, 90.00 degrees
With the nearest neighbours (Å) after each atom.
Space group Cmcm (No. 63)
Inequivalent atoms, fractional coordinates:
Sr 0.0000 0.2486 0.2500 [4 per cell]  6 Se 3.13-3.25
Li 0.0000 0.4770 0.7500 [4 per cell]  4 Se 2.50-2.51
Tb 0.0000 0.0000 0.0000 [4 per cell]  6 Se 2.89-2.90
Se 0.0000 0.0801 0.7500 [4 per cell]  2 Li 2.51
Se 0.0000 0.3632 0.5671 [8 per cell]  1 Li 2.50

Values from the calculation:
Crystal system: orthorhombic

=====

Run 3
# SrLiTbSe3

A geometry-optimized SrLiTbSe3 structure (PBE, the Open Quantum Materials Database).

Cell lengths 17.7818, 4.1444, 8.6767 Å; angles 90.00, 104.27, 90.00 degrees
With the nearest neighbours (Å) after each atom.
Space group C2/m (No. 12)
Inequivalent atoms, fractional coordinates:
Sr 0.1332 0.0000 0.0647 [4 per cell]  7 Se 3.09-3.30
Li 0.0060 0.5000 0.7009 [4 per cell]  4 Se 2.62-2.93
Tb 0.1659 0.0000 0.5870 [4 per cell]  6 Se 2.86-2.89
Se 0.0000 0.0000 0.5000 [2 per cell]  4 Li 2.69, 2 Tb 2.86
Se 0.0000 0.5000 0.0000 [2 per cell]  2 Li 2.62
Se 0.1669 0.5000 0.3552 [4 per cell]  3 Tb 2.89, 1 Li 2.99, 2 Sr 3.20
Se 0.1754 0.5000 0.8175 [4 per cell]  2 Tb 2.86, 1 Li 2.93

Values from the calculation:
Crystal system: monoclinic

=====

Energy above the most stable structure, in meV/atom: run 1 29; run 2 12; run 3 0

=====

Run 1
# LiTbZnSe3

A geometry-optimized LiTbZnSe3 structure (PBE, the Open Quantum Materials Database).

Cell lengths 7.8423, 4.0227, 9.8718 Å; angles 90.00, 103.10, 90.00 degrees
With the nearest neighbours (Å) after each atom.
Space group P2_1/m (No. 11)
Inequivalent atoms, fractional coordinates:
Li 0.1782 0.2500 0.1326 [2 per cell]  5 Se 2.71-2.80
Tb 0.3283 0.7500 0.8477 [2 per cell]  6 Se 2.85-2.95
Zn 0.0784 0.2500 0.6019 [2 per cell]  4 Se 2.48-2.55
Se 0.0638 0.2500 0.8499 [2 per cell]  1 Zn 2.48, 1 Li 2.73
Se 0.2364 0.7500 0.5407 [2 per cell]  3 Zn 2.51-2.55
Se 0.4141 0.7500 0.1489 [2 per cell]  2 Li 2.71, 3 Tb 2.85-2.90

Values from the calculation:
Crystal system: monoclinic

=====

Run 2
# LiTbZnSe3

A geometry-optimized LiTbZnSe3 structure (PBE, the Open Quantum Materials Database).

Cell lengths 3.9842, 13.0683, 10.9382 Å; angles 90.00, 90.00, 90.00 degrees
With the nearest neighbours (Å) after each atom.
Space group Cmcm (No. 63)
Inequivalent atoms, fractional coordinates:
Li 0.0000 0.2252 0.2500 [4 per cell]  6 Se 2.95-3.10, 2 Zn 3.29
Tb 0.0000 0.0000 0.0000 [4 per cell]  6 Se 2.86-2.99
Zn 0.0000 0.4754 0.7500 [4 per cell]  4 Se 2.45-2.51
Se 0.0000 0.0927 0.7500 [4 per cell]  2 Zn 2.51
Se 0.0000 0.3566 0.5768 [8 per cell]  1 Zn 2.45

Values from the calculation:
Crystal system: orthorhombic

=====

Energy above the most stable structure, in meV/atom: run 1 0; run 2 34

=====

Run 1
# LiZrTlSe3

A geometry-optimized LiZrTlSe3 structure (PBE, the Open Quantum Materials Database).

Cell lengths 14.5951, 3.9646, 10.7430 Å; angles 90.00, 90.00, 90.00 degrees
With the nearest neighbours (Å) after each atom.
Space group Pnma (No. 62)
Inequivalent atoms, fractional coordinates:
Li 0.0181 0.2500 0.0914 [4 per cell]  4 Se 2.51-2.57
Zr 0.0159 0.7500 0.3359 [4 per cell]  6 Se 2.64-2.77
Tl 0.2254 0.7500 0.0180 [4 per cell]  7 Se 3.28-3.59
Se 0.0835 0.2500 0.8693 [4 per cell]  3 Li 2.51-2.57, 1 Zr 2.64
Se 0.0956 0.7500 0.5694 [4 per cell]  3 Zr 2.76-2.77
Se 0.1334 0.2500 0.2667 [4 per cell]  1 Li 2.53, 2 Zr 2.72

Values from the calculation:
Crystal system: orthorhombic

=====

Run 2
# LiZrTlSe3

A geometry-optimized LiZrTlSe3 structure (PBE, the Open Quantum Materials Database).

Cell lengths 8.1409, 3.9636, 10.2081 Å; angles 90.00, 109.51, 90.00 degrees
With the nearest neighbours (Å) after each atom.
Space group P2_1/m (No. 11)
Inequivalent atoms, fractional coordinates:
Li 0.0716 0.2500 0.1005 [2 per cell]  4 Se 2.52-2.60, 2 Li 2.81
Zr 0.3113 0.7500 0.3444 [2 per cell]  6 Se 2.66-2.77
Tl 0.2653 0.2500 0.8104 [2 per cell]  6 Se 3.33-3.44
Se 0.0891 0.2500 0.3523 [2 per cell]  1 Li 2.53, 2 Zr 2.70
Se 0.2465 0.7500 0.0713 [2 per cell]  3 Li 2.52-2.60, 1 Zr 2.66
Se 0.4425 0.7500 0.6318 [2 per cell]  3 Zr 2.77

Values from the calculation:
Crystal system: monoclinic

=====

Energy above the most stable structure, in meV/atom: run 1 0; run 2 7

=====

Run 1
# LiTmZnSe3

A geometry-optimized LiTmZnSe3 structure (PBE, the Open Quantum Materials Database).

Cell lengths 12.0877, 3.9662, 11.5564 Å; angles 90.00, 90.00, 90.00 degrees
With the nearest neighbours (Å) after each atom.
Space group Pnma (No. 62)
Inequivalent atoms, fractional coordinates:
Li 0.1195 0.2500 0.0136 [4 per cell]  5 Se 2.73-2.86
Tm 0.0456 0.2500 0.6754 [4 per cell]  6 Se 2.79-2.95
Zn 0.2365 0.2500 0.2867 [4 per cell]  4 Se 2.40-2.50
Se 0.0690 0.7500 0.8568 [4 per cell]  1 Zn 2.49, 3 Li 2.73-2.75
Se 0.0870 0.2500 0.4236 [4 per cell]  1 Zn 2.40
Se 0.2212 0.7500 0.1560 [4 per cell]  2 Zn 2.50

Values from the calculation:
Crystal system: orthorhombic

=====

Run 2
# LiTmZnSe3

A geometry-optimized LiTmZnSe3 structure (PBE, the Open Quantum Materials Database).

Cell lengths 3.9364, 13.0857, 10.7684 Å; angles 90.00, 90.00, 90.00 degrees
With the nearest neighbours (Å) after each atom.
Space group Cmcm (No. 63)
Inequivalent atoms, fractional coordinates:
Li 0.0000 0.2248 0.2500 [4 per cell]  6 Se 2.95-3.09, 2 Zn 3.28
Tm 0.0000 0.0000 0.0000 [4 per cell]  6 Se 2.81-2.95
Zn 0.0000 0.4759 0.7500 [4 per cell]  4 Se 2.44-2.49
Se 0.0000 0.0930 0.7500 [4 per cell]  2 Zn 2.49
Se 0.0000 0.3586 0.5734 [8 per cell]  1 Zn 2.44

Values from the calculation:
Crystal system: orthorhombic

=====

Energy above the most stable structure, in meV/atom: run 1 12; run 2 0